Here is an optimized crystal structure of ZnAg from Alexandria. Energies are from PBE.

Unit cell a=5.229 b=5.229 c=5.369 alpha=90.00 beta=90.00 gamma=90.00
Fractional positions:
Zn: 0.184 0.184 0.000
Zn: 0.316 0.684 0.500
Zn: 0.684 0.316 0.500
Zn: 0.816 0.816 0.000
Ag: 0.189 0.189 0.500
Ag: 0.311 0.689 0.000
Ag: 0.689 0.311 0.000
Ag: 0.811 0.811 0.500

Results
As for the crystal system: tetragonal. The total energy comes out at -1.887 eV/atom.